(1)
First-principles (PBEsol) data for a relaxed structure of Ho3GaO6, as listed in Alexandria via LeMat-Bulk.

a = 7.009 Å, b = 7.009 Å, c = 5.346 Å
α = 90.00°, β = 90.00°, γ = 102.80°
Positions (direct):
Ho  0.102  0.898  0.500
Ho  0.202  0.413  0.549
Ho  0.413  0.202  0.049
Ho  0.587  0.798  0.549
Ho  0.798  0.587  0.049
Ho  0.898  0.102  0.000
Ga  0.307  0.693  0.079
Ga  0.693  0.307  0.579
O  0.077  0.605  0.261
O  0.144  0.177  0.275
O  0.177  0.144  0.775
O  0.283  0.717  0.740
O  0.395  0.923  0.261
O  0.463  0.537  0.226
O  0.537  0.463  0.726
O  0.605  0.077  0.761
O  0.717  0.283  0.240
O  0.823  0.856  0.275
O  0.856  0.823  0.775
O  0.923  0.395  0.761

## Properties
Density of states at the Fermi level (states/eV per cell): 0.00
Total magnetic moment (μB/f.u.): 0.00
Formation energy without anion corrections (eV per atom): -3.25

***

(2)
First-principles (PBEsol) data for a relaxed structure of HoGaO3, as listed in Alexandria via LeMat-Bulk.

a = 6.011 Å, b = 6.011 Å, c = 11.576 Å
α = 90.00°, β = 90.00°, γ = 120.00°
Positions (direct):
Ho  0.000  0.000  0.000
Ho  0.000  0.000  0.500
Ho  0.333  0.667  0.043
Ho  0.333  0.667  0.543
Ho  0.667  0.333  0.043
Ho  0.667  0.333  0.543
Ga  0.000  0.334  0.275
Ga  0.000  0.666  0.775
Ga  0.334  0.000  0.275
Ga  0.334  0.334  0.775
Ga  0.666  0.000  0.775
Ga  0.666  0.666  0.275
O  0.000  0.000  0.298
O  0.000  0.000  0.798
O  0.000  0.305  0.112
O  0.000  0.361  0.437
O  0.000  0.639  0.937
O  0.000  0.695  0.612
O  0.305  0.000  0.112
O  0.305  0.305  0.612
O  0.333  0.667  0.255
O  0.333  0.667  0.755
O  0.361  0.000  0.437
O  0.361  0.361  0.937
O  0.639  0.000  0.937
O  0.639  0.639  0.437
O  0.667  0.333  0.255
O  0.667  0.333  0.755
O  0.695  0.000  0.612
O  0.695  0.695  0.112

## Properties
Density of states at the Fermi level (states/eV per cell): 0.00
Total magnetic moment (μB/f.u.): 0.00
Formation energy without anion corrections (eV per atom): -2.81

***

(3)
First-principles (PBEsol) data for a relaxed structure of HoGaO3, as listed in Alexandria via LeMat-Bulk.

a = 5.533 Å, b = 7.503 Å, c = 5.213 Å
α = 90.00°, β = 90.00°, γ = 90.00°
Positions (direct):
Ho  0.071  0.250  0.021
Ho  0.429  0.750  0.521
Ho  0.571  0.250  0.479
Ho  0.929  0.750  0.979
Ga  0.000  0.000  0.500
Ga  0.000  0.500  0.500
Ga  0.500  0.000  0.000
Ga  0.500  0.500  0.000
O  0.038  0.750  0.387
O  0.195  0.557  0.808
O  0.195  0.943  0.808
O  0.305  0.057  0.308
O  0.305  0.443  0.308
O  0.462  0.250  0.887
O  0.538  0.750  0.113
O  0.695  0.557  0.692
O  0.695  0.943  0.692
O  0.805  0.057  0.192
O  0.805  0.443  0.192
O  0.962  0.250  0.613

## Properties
Density of states at the Fermi level (states/eV per cell): 0.00
Total magnetic moment (μB/f.u.): 0.00
Formation energy without anion corrections (eV per atom): -2.81

***

(4)
First-principles (PBEsol) data for a relaxed structure of HoGa3Os, as listed in Alexandria via LeMat-Bulk.

a = 6.327 Å, b = 6.327 Å, c = 6.327 Å
α = 90.00°, β = 90.00°, γ = 90.00°
Positions (direct):
Ho  0.000  0.000  0.500
Ho  0.000  0.500  0.000
Ho  0.500  0.000  0.000
Ga  0.000  0.000  0.000
Ga  0.289  0.289  0.289
Ga  0.289  0.289  0.711
Ga  0.289  0.711  0.289
Ga  0.289  0.711  0.711
Ga  0.711  0.289  0.289
Ga  0.711  0.289  0.711
Ga  0.711  0.711  0.289
Ga  0.711  0.711  0.711
Os  0.000  0.500  0.500
Os  0.500  0.000  0.500
Os  0.500  0.500  0.000

## Properties
Density of states at the Fermi level (states/eV per cell): 6.44
DFT formation energy (eV per atom): -0.533
Total magnetic moment (μB/f.u.): 0.00

***

Ordered V results: 128; 60; 54; 84; unit Å³/f.u..